# 1
! PrDy3Mg6 (GGA-PBE, relaxed); values from VASP
! Calculated total energy (eV/atom): -2.886
! Calculated volume (Å³/atom): 26.91
! ΔH_f (0 K) (meV per atom): -71
&SYSTEM
  ibrav = 0, nat = 20, ntyp = 3
/
ATOMIC_SPECIES
Pr 140.91 Pr.upf
Dy 162.50 Dy.upf
Mg 24.30 Mg.upf
CELL_PARAMETERS angstrom
9.303 0.000 0.000
0.000 5.310 0.000
-3.150 0.000 10.893
ATOMIC_POSITIONS crystal
Pr 0.054 0.250 0.394
Pr 0.946 0.750 0.606
Dy 0.249 0.250 0.998
Dy 0.352 0.750 0.798
Dy 0.457 0.250 0.605
Dy 0.543 0.750 0.395
Dy 0.648 0.250 0.202
Dy 0.751 0.750 0.002
Mg 0.050 0.750 0.905
Mg 0.148 0.250 0.704
Mg 0.148 0.750 0.196
Mg 0.251 0.750 0.494
Mg 0.346 0.250 0.294
Mg 0.444 0.750 0.100
Mg 0.556 0.250 0.900
Mg 0.654 0.750 0.706
Mg 0.749 0.250 0.506
Mg 0.852 0.250 0.804
Mg 0.852 0.750 0.296
Mg 0.950 0.250 0.095

=====

# 2
! Pr3DyMg8 (GGA-PBE, relaxed); values from VASP
! Calculated total energy (eV/atom): -2.742
! Calculated volume (Å³/atom): 27.10
! ΔH_f (0 K) (meV per atom): -101
&SYSTEM
  ibrav = 0, nat = 12, ntyp = 3
/
ATOMIC_SPECIES
Pr 140.91 Pr.upf
Dy 162.50 Dy.upf
Mg 24.30 Mg.upf
CELL_PARAMETERS angstrom
3.067 1.771 9.982
-3.067 1.771 9.982
0.000 -3.541 9.982
ATOMIC_POSITIONS crystal
Pr 0.000 0.000 0.000
Pr 0.125 0.125 0.125
Pr 0.624 0.624 0.624
Dy 0.500 0.500 0.500
Mg 0.062 0.062 0.561
Mg 0.062 0.561 0.062
Mg 0.065 0.563 0.563
Mg 0.312 0.312 0.312
Mg 0.561 0.062 0.062
Mg 0.563 0.065 0.563
Mg 0.563 0.563 0.065
Mg 0.812 0.812 0.812

=====

# 3
! PrDyMg4 (GGA-PBE, relaxed); values from VASP
! Calculated total energy (eV/atom): -2.715
! Calculated volume (Å³/atom): 26.65
! Energy relative to the lowest polymorph listed for this composition (eV per formula unit): 0.000
! ΔH_f (0 K) (meV per atom): -89
&SYSTEM
  ibrav = 0, nat = 6, ntyp = 3
/
ATOMIC_SPECIES
Pr 140.91 Pr.upf
Dy 162.50 Dy.upf
Mg 24.30 Mg.upf
CELL_PARAMETERS angstrom
0.000 4.308 4.308
4.308 0.000 4.308
4.308 4.308 0.000
ATOMIC_POSITIONS crystal
Pr 0.000 0.000 0.000
Dy 0.750 0.750 0.750
Mg 0.375 0.375 0.375
Mg 0.375 0.375 0.874
Mg 0.375 0.874 0.375
Mg 0.874 0.375 0.375

=====

# 4
! PrDy2Mg4 (GGA-PBE, relaxed); values from VASP
! Calculated total energy (eV/atom): -2.774
! Calculated volume (Å³/atom): 30.70
! Energy relative to the lowest polymorph listed for this composition (eV per formula unit): 0.000
! ΔH_f (0 K) (meV per atom): 134
&SYSTEM
  ibrav = 0, nat = 7, ntyp = 3
/
ATOMIC_SPECIES
Pr 140.91 Pr.upf
Dy 162.50 Dy.upf
Mg 24.30 Mg.upf
CELL_PARAMETERS angstrom
-2.685 2.685 7.454
2.685 -2.685 7.454
2.685 2.685 -7.454
ATOMIC_POSITIONS crystal
Pr 0.000 0.000 0.000
Dy 0.250 0.250 0.000
Dy 0.750 0.750 0.000
Mg 0.121 0.621 0.500
Mg 0.379 0.879 0.500
Mg 0.621 0.121 0.500
Mg 0.879 0.379 0.500

=====

# 5
! Pr4DyMg5 (GGA-PBE, relaxed); values from VASP
! Calculated total energy (eV/atom): -3.276
! Calculated volume (Å³/atom): 29.39
! ΔH_f (0 K) (meV per atom): -107
&SYSTEM
  ibrav = 0, nat = 10, ntyp = 3
/
ATOMIC_SPECIES
Pr 140.91 Pr.upf
Dy 162.50 Dy.upf
Mg 24.30 Mg.upf
CELL_PARAMETERS angstrom
3.883 0.000 0.000
0.000 3.883 0.000
0.000 0.000 19.496
ATOMIC_POSITIONS crystal
Pr 0.000 0.000 0.102
Pr 0.000 0.000 0.305
Pr 0.000 0.000 0.695
Pr 0.000 0.000 0.898
Dy 0.000 0.000 0.500
Mg 0.500 0.500 0.000
Mg 0.500 0.500 0.203
Mg 0.500 0.500 0.406
Mg 0.500 0.500 0.594
Mg 0.500 0.500 0.797

=====

# 6
! Pr14DyMg (GGA-PBE, relaxed); values from VASP
! Calculated total energy (eV/atom): -4.566
! Calculated volume (Å³/atom): 35.03
! ΔH_f (0 K) (meV per atom): 4
&SYSTEM
  ibrav = 0, nat = 16, ntyp = 3
/
ATOMIC_SPECIES
Pr 140.91 Pr.upf
Dy 162.50 Dy.upf
Mg 24.30 Mg.upf
CELL_PARAMETERS angstrom
10.428 0.000 0.000
0.000 5.184 5.184
0.000 -5.184 5.184
ATOMIC_POSITIONS crystal
Pr 0.000 0.000 0.000
Pr 0.000 0.499 0.499
Pr 0.000 0.500 0.999
Pr 0.000 0.999 0.500
Pr 0.253 0.250 0.250
Pr 0.254 0.250 0.749
Pr 0.254 0.749 0.250
Pr 0.254 0.749 0.749
Pr 0.500 0.001 0.499
Pr 0.500 0.499 0.001
Pr 0.746 0.250 0.749
Pr 0.746 0.749 0.250
Pr 0.746 0.749 0.749
Pr 0.747 0.250 0.250
Dy 0.500 0.000 0.000
Mg 0.500 0.500 0.500

=====

# 7
! Pr2Dy2Mg (GGA-PBE, relaxed); values from VASP
! Calculated total energy (eV/atom): -4.095
! Calculated volume (Å³/atom): 31.99
! Energy relative to the lowest polymorph listed for this composition (eV per formula unit): 0.000
! ΔH_f (0 K) (meV per atom): -23
&SYSTEM
  ibrav = 0, nat = 5, ntyp = 3
/
ATOMIC_SPECIES
Pr 140.91 Pr.upf
Dy 162.50 Dy.upf
Mg 24.30 Mg.upf
CELL_PARAMETERS angstrom
-1.823 1.823 12.036
1.823 -1.823 12.036
1.823 1.823 -12.036
ATOMIC_POSITIONS crystal
Pr 0.094 0.094 0.000
Pr 0.906 0.906 0.000
Dy 0.301 0.301 0.000
Dy 0.699 0.699 0.000
Mg 0.500 0.500 0.000

=====

# 8
! PrDyMg6 (GGA-PBE, relaxed); values from VASP
! Calculated total energy (eV/atom): -2.451
! Calculated volume (Å³/atom): 25.83
! ΔH_f (0 K) (meV per atom): -83
&SYSTEM
  ibrav = 0, nat = 8, ntyp = 3
/
ATOMIC_SPECIES
Pr 140.91 Pr.upf
Dy 162.50 Dy.upf
Mg 24.30 Mg.upf
CELL_PARAMETERS angstrom
5.220 0.000 0.000
0.000 3.383 5.851
0.000 -3.383 5.851
ATOMIC_POSITIONS crystal
Pr 0.000 0.000 0.000
Dy 0.500 0.332 0.332
Mg 0.000 0.501 0.501
Mg 0.000 0.503 0.995
Mg 0.000 0.995 0.503
Mg 0.500 0.344 0.826
Mg 0.500 0.826 0.344
Mg 0.500 0.827 0.827

=====

# 9
! Pr3DyMg4 (GGA-PBE, relaxed); values from VASP
! Calculated total energy (eV/atom): -3.268
! Calculated volume (Å³/atom): 29.28
! ΔH_f (0 K) (meV per atom): -103
&SYSTEM
  ibrav = 0, nat = 8, ntyp = 3
/
ATOMIC_SPECIES
Pr 140.91 Pr.upf
Dy 162.50 Dy.upf
Mg 24.30 Mg.upf
CELL_PARAMETERS angstrom
3.878 0.000 0.000
0.000 3.878 0.000
0.000 0.000 15.575
ATOMIC_POSITIONS crystal
Pr 0.000 0.000 0.000
Pr 0.000 0.000 0.256
Pr 0.000 0.000 0.744
Dy 0.000 0.000 0.500
Mg 0.500 0.500 0.128
Mg 0.500 0.500 0.384
Mg 0.500 0.500 0.616
Mg 0.500 0.500 0.872

=====

# 10
! Pr4DyMg2 (GGA-PBE, relaxed); values from VASP
! Calculated total energy (eV/atom): -3.693
! Calculated volume (Å³/atom): 34.48
! Energy relative to the lowest polymorph listed for this composition (eV per formula unit): 0.000
! ΔH_f (0 K) (meV per atom): 151
&SYSTEM
  ibrav = 0, nat = 7, ntyp = 3
/
ATOMIC_SPECIES
Pr 140.91 Pr.upf
Dy 162.50 Dy.upf
Mg 24.30 Mg.upf
CELL_PARAMETERS angstrom
-3.793 3.793 4.195
3.793 -3.793 4.195
3.793 3.793 -4.195
ATOMIC_POSITIONS crystal
Pr 0.000 0.000 0.500
Pr 0.000 0.500 0.000
Pr 0.500 0.000 0.000
Pr 0.500 0.500 0.500
Dy 0.000 0.000 0.000
Mg 0.000 0.500 0.500
Mg 0.500 0.000 0.500

=====

# 11
! PrDy2Mg2 (GGA-PBE, relaxed); values from VASP
! Calculated total energy (eV/atom): -3.503
! Calculated volume (Å³/atom): 29.22
! Energy relative to the lowest polymorph listed for this composition (eV per formula unit): 0.000
! ΔH_f (0 K) (meV per atom): -68
&SYSTEM
  ibrav = 0, nat = 10, ntyp = 3
/
ATOMIC_SPECIES
Pr 140.91 Pr.upf
Dy 162.50 Dy.upf
Mg 24.30 Mg.upf
CELL_PARAMETERS angstrom
3.780 0.000 0.000
0.000 5.518 0.000
-1.894 0.000 14.005
ATOMIC_POSITIONS crystal
Pr 0.151 0.250 0.300
Pr 0.849 0.750 0.700
Dy 0.045 0.750 0.090
Dy 0.237 0.750 0.475
Dy 0.763 0.250 0.525
Dy 0.955 0.250 0.910
Mg 0.359 0.250 0.719
Mg 0.450 0.750 0.899
Mg 0.550 0.250 0.101
Mg 0.641 0.750 0.281

=====

# 12
! Pr3Dy3Mg (GGA-PBE, relaxed); values from VASP
! Calculated total energy (eV/atom): -4.163
! Calculated volume (Å³/atom): 34.40
! Energy relative to the lowest polymorph listed for this composition (eV per formula unit): 0.499
! ΔH_f (0 K) (meV per atom): 86
&SYSTEM
  ibrav = 0, nat = 14, ntyp = 3
/
ATOMIC_SPECIES
Pr 140.91 Pr.upf
Dy 162.50 Dy.upf
Mg 24.30 Mg.upf
CELL_PARAMETERS angstrom
3.139 1.812 14.112
-3.139 1.812 14.112
0.000 -3.624 14.112
ATOMIC_POSITIONS crystal
Pr 0.065 0.396 0.732
Pr 0.268 0.935 0.604
Pr 0.396 0.732 0.065
Pr 0.604 0.268 0.935
Pr 0.732 0.065 0.396
Pr 0.935 0.604 0.268
Dy 0.133 0.800 0.466
Dy 0.200 0.534 0.867
Dy 0.466 0.133 0.800
Dy 0.534 0.867 0.200
Dy 0.800 0.466 0.133
Dy 0.867 0.200 0.534
Mg 0.333 0.333 0.333
Mg 0.667 0.667 0.667